NaZrCuTc2 | SCAN | PBEsol geometry

abc: 4.5428 4.5428 4.1104
angles: 90.00 90.00 90.00
Closest atoms and distances in Å follow each position.
Atoms (fractional coordinates):
Na 0.0000 0.0000 0.0000  2 Cu 2.06, 4 Tc 2.27
Zr 0.5000 0.5000 0.5000  8 Tc 3.06, 4 Cu 3.21
Cu 0.0000 0.0000 0.5000  2 Na 2.06
Tc 0.0000 0.5000 0.0000  2 Na 2.27
Tc 0.5000 0.0000 0.0000  2 Na 2.27

Computed properties:
The formation energy from the elements comes out at 8.28 eV/f.u. The value obtained for the energy is -22.3909 eV per atom. The density of states at the Fermi level is 4.6 states/eV/cell. Its space group is P4/mmm (123).

---

NaCuTe2 | SCAN | PBEsol geometry

abc: 6.3837 6.3837 6.3837
angles: 103.85 103.85 121.41
Closest atoms and distances in Å follow each position.
Atoms (fractional coordinates):
Na 0.0000 0.0000 0.0000  2 Cu 3.12, 8 Te 3.25-3.39
Na 0.7500 0.2500 0.5000  2 Cu 3.12, 8 Te 3.25-3.39
Cu 0.2500 0.7500 0.5000  4 Te 2.58
Cu 0.5000 0.5000 0.0000  4 Te 2.58
Te 0.1888 0.1250 0.5638  2 Cu 2.58
Te 0.3750 0.8112 0.9362  2 Cu 2.58
Te 0.5612 0.6250 0.4362  2 Cu 2.58
Te 0.8750 0.4388 0.0638  2 Cu 2.58

Computed properties:
The value obtained for the energy is -23.8469 eV per atom. The uncorrected formation energy is -368 meV/atom. The density of states at the Fermi level is 1.6 states/eV/cell. Its space group is I-42d (122).

---

NaCu2Te2 | SCAN | PBEsol geometry

abc: 7.8806 7.8806 7.8806
angles: 151.33 151.33 41.00
Closest atoms and distances in Å follow each position.
Atoms (fractional coordinates):
Na 0.0000 0.0000 0.0000  8 Te 3.40
Cu 0.2500 0.7500 0.5000  4 Te 2.60, 4 Cu 2.76
Cu 0.7500 0.2500 0.5000  4 Te 2.60, 4 Cu 2.76
Te 0.3660 0.3660 0.0000  4 Cu 2.60
Te 0.6340 0.6340 0.0000  4 Cu 2.60

Computed properties:
The value obtained for the energy is -22.1967 eV per atom. The uncorrected formation energy is -374 meV/atom. The density of states at the Fermi level is 1.4 states/eV/cell. Its space group is I4/mmm (139).

---

Na3ZrCu | SCAN | PBEsol geometry

abc: 5.1853 5.1853 5.1853
angles: 90.00 90.00 90.00
Closest atoms and distances in Å follow each position.
Atoms (fractional coordinates):
Na 0.0000 0.0000 0.5000  2 Cu 2.59
Na 0.0000 0.5000 0.0000  2 Cu 2.59
Na 0.5000 0.0000 0.0000  2 Cu 2.59
Zr 0.5000 0.5000 0.5000  12 Na 3.67
Cu 0.0000 0.0000 0.0000  6 Na 2.59

Computed properties:
The formation energy from the elements comes out at 4.85 eV/f.u. The value obtained for the energy is -10.7381 eV per atom. The density of states at the Fermi level is 6.1 states/eV/cell. Its space group is Pm-3m (221).